Entry 1:
A relaxed structure of KUTa, computed with PBE-GGA.

abc: 5.000 5.000 5.000
angles: 60.00 60.00 60.00
Sites, in units of the cell vectors:
K  0.000  0.000  0.000
U  0.250  0.250  0.250
Ta  0.500  0.500  0.500

Output
energy above the lowest structure with this stoichiometry = 0.000 eV per atom
space-group type = F-43m (216)

***

Entry 2:
A relaxed structure of BiPd10, computed with PBE-GGA.

abc: 4.797 4.797 29.683
angles: 90.71 90.71 48.36
Sites, in units of the cell vectors:
Bi  0.149  0.149  0.183
Bi  0.851  0.851  0.817
Pd  0.045  0.045  0.396
Pd  0.053  0.053  0.694
Pd  0.150  0.150  0.485
Pd  0.151  0.151  0.787
Pd  0.249  0.249  0.276
Pd  0.253  0.253  0.574
Pd  0.345  0.345  0.366
Pd  0.354  0.354  0.664
Pd  0.448  0.448  0.456
Pd  0.454  0.454  0.756
Pd  0.546  0.546  0.244
Pd  0.552  0.552  0.544
Pd  0.646  0.646  0.336
Pd  0.655  0.655  0.634
Pd  0.747  0.747  0.426
Pd  0.751  0.751  0.724
Pd  0.849  0.849  0.213
Pd  0.850  0.850  0.515
Pd  0.947  0.947  0.306
Pd  0.955  0.955  0.604

Output
energy above the lowest structure with this stoichiometry = 0.000 eV per atom
space-group type = C2/m (12)

***

Entry 3:
A relaxed structure of TbHo3Tm2, computed with PBE-GGA.

abc: 9.387 9.387 6.121
angles: 102.57 102.57 44.25
Sites, in units of the cell vectors:
Tb  0.125  0.875  0.750
Tb  0.875  0.125  0.250
Ho  0.208  0.457  0.471
Ho  0.375  0.625  0.250
Ho  0.457  0.208  0.971
Ho  0.543  0.792  0.029
Ho  0.625  0.375  0.750
Ho  0.792  0.543  0.529
Tm  0.042  0.293  0.028
Tm  0.293  0.042  0.528
Tm  0.707  0.958  0.472
Tm  0.958  0.707  0.972

Output
space-group type = C2/c (15)
E_form = -0.01 eV/f.u.

***

Entry 4:
A relaxed structure of ErHf3C, computed with PBE-GGA.

abc: 4.639 4.639 4.639
angles: 90.00 90.00 90.00
Sites, in units of the cell vectors:
Er  0.000  0.000  0.000
Hf  0.000  0.500  0.500
Hf  0.500  0.000  0.500
Hf  0.500  0.500  0.000
C  0.500  0.500  0.500

Output
E_tot = -8.887 eV per atom
space-group type = Pm-3m (221)

***

Entry 5:
A relaxed structure of SrLiBiPd, computed with PBE-GGA.

abc: 5.212 5.212 5.212
angles: 60.00 60.00 60.00
Sites, in units of the cell vectors:
Sr  0.000  0.000  0.000
Li  0.500  0.500  0.500
Bi  0.250  0.250  0.250
Pd  0.750  0.750  0.750

Output
energy above the lowest structure with this stoichiometry = 0.195 eV per atom
space-group type = F-43m (216)

***

Entry 6:
A relaxed structure of NaDyAsO, computed with PBE-GGA.

abc: 5.701 5.701 4.937
angles: 90.00 90.00 90.00
Sites, in units of the cell vectors:
Na  0.250  0.250  0.001
Na  0.750  0.750  0.999
Dy  0.250  0.750  0.500
Dy  0.750  0.250  0.500
As  0.250  0.250  0.501
As  0.750  0.750  0.499
O  0.250  0.750  0.000
O  0.750  0.250  0.000

Output
energy above the lowest structure with this stoichiometry = 0.540 eV per atom
space-group type = P4/nmm (129)

***

no.,calculated volume (Å³ per atom)
1,29.5
2,23.2
3,30.5
4,20.0
5,25.0
6,20.1